Entry 1:
NaPmMoO5 GGA+U optimized geometry; M_tot = 0.000 μB per cell; V = 286.2 Å³ per cell
1.0
-5.0036 3.2114 -2.2025
-1.3509 -6.1822 0.3938
0.2259 2.2648 7.8763
Na Pm Mo O
2 2 2 10
Direct
0.2956 0.7044 0.2500
0.7044 0.2956 0.7500
0.0000 0.0000 0.5000
0.0000 0.0000 0.0000
0.6920 0.3080 0.2500
0.3080 0.6920 0.7500
0.0839 0.9161 0.2500
0.9161 0.0839 0.7500
0.9263 0.3357 0.1522
0.0737 0.6643 0.8478
0.6643 0.0737 0.3478
0.3357 0.9263 0.6522
0.7602 0.5766 0.4187
0.2398 0.4234 0.5813
0.4234 0.2398 0.0813
0.5766 0.7602 0.9187

---

Entry 2:
Na3Pm3MoO8 GGA+U optimized geometry; M_tot = 2.000 μB per cell; V = 234.0 Å³ per cell
1.0
6.9311 0.0000 0.0000
-3.4656 6.0474 0.0116
0.0000 -3.9810 5.5743
Na Pm Mo O
3 3 1 8
Direct
0.0000 0.0000 0.0000
0.0000 0.5000 0.0000
0.5000 0.5000 0.0000
0.5000 0.0000 0.5000
0.5000 0.5000 0.5000
0.0000 0.5000 0.5000
0.0000 0.0000 0.5000
0.2632 0.5265 0.2848
0.7368 0.4735 0.7153
0.7790 0.5580 0.2971
0.2210 0.4420 0.7029
0.7864 0.0170 0.3018
0.2136 0.9830 0.6982
0.2306 0.0170 0.3018
0.7694 0.9830 0.6982

---

Entry 3:
NaPrMo2O8 GGA+U optimized geometry; M_tot = 0.000 μB per cell; V = 169.5 Å³ per cell
1.0
-3.3278 4.0742 1.1049
-4.2049 -3.0750 -1.3256
3.3595 -2.3390 5.6676
Na Pr Mo O
1 1 2 8
Direct
0.7500 0.2500 0.5000
0.0000 0.0000 0.0000
0.5000 0.5000 0.0000
0.2500 0.7500 0.5000
0.7325 0.8233 0.1628
0.4303 0.3395 0.1628
0.5764 0.6966 0.6734
0.0971 0.9768 0.6734
0.0232 0.4236 0.3266
0.3034 0.9029 0.3266
0.1767 0.5697 0.8372
0.6605 0.2675 0.8372

---

Entry 4:
Na3Pr2MoO6 GGA+U optimized geometry; M_tot = 3.000 μB per cell; V = 178.3 Å³ per cell
1.0
-0.5408 4.9636 -3.4183
2.7644 -4.9189 -2.1857
-5.6433 -1.9091 -0.1739
Na Pr Mo O
3 2 1 6
Direct
0.1501 0.8499 0.5000
0.8499 0.1501 0.5000
0.5000 0.5000 0.5000
0.3325 0.6675 0.0000
0.6675 0.3325 0.0000
0.0000 0.0000 0.0000
0.9300 0.6200 0.7833
0.7559 0.7559 0.2138
0.0700 0.3800 0.2167
0.6200 0.9300 0.7833
0.2441 0.2441 0.7862
0.3800 0.0700 0.2167

---

Entry 5:
Na2MoPtO6 GGA+U optimized geometry; M_tot = 0.186 μB per cell; V = 123.4 Å³ per cell
1.0
-1.7822 0.2165 -3.6784
-1.2539 -5.3382 0.2934
-4.7818 1.2546 2.3907
Na Mo Pt O
2 1 1 6
Direct
0.1114 0.5000 0.0000
0.1114 0.0000 0.5000
0.6106 0.0000 0.0000
0.6553 0.5000 0.5000
0.6600 0.2435 0.2435
0.6600 0.2435 0.7565
0.1560 0.5000 0.5000
0.1621 0.0000 0.0000
0.6600 0.7565 0.7565
0.6600 0.7565 0.2435

---

Entry 6:
NaMoPtO2 GGA+U optimized geometry; M_tot = 5.365 μB per cell; V = 90.4 Å³ per cell
1.0
-3.9450 -1.1909 -0.2706
0.8928 -3.7779 3.6109
-1.0039 2.6413 3.0117
Na Mo O Pt
1 1 2 1
Direct
0.5000 0.5000 0.5000
0.0000 0.5000 0.0000
0.0000 0.0000 0.5000
0.5000 0.0000 0.0000
0.0000 0.0000 0.0000

---

| no. | raw total energy (eV/cell) |
| --- | --- |
| 1 | -110.97 |
| 2 | -102.03 |
| 3 | -85.55 |
| 4 | -77.36 |
| 5 | -57.84 |
| 6 | -22.14 |